# 1
A plane-wave DFT calculation with PBE was carried out for a relaxed structure of TlTcSb2.

Properties
Uncorrected formation energy = 269 meV per atom
M_tot = 0.00 Bohr magnetons per cell
Calculated total energy = -4.975 eV per atom
Volume = 97 Å³/cell

```
data_TlTcSb2
_chemical_formula_sum 'Tl1 Tc1 Sb2'
_cell_length_a 6.9415
_cell_length_b 6.9415
_cell_length_c 6.9415
_cell_angle_alpha 153.17
_cell_angle_beta 139.75
_cell_angle_gamma 49.03
_space_group_name_H-M_alt 'P 1'
_space_group_IT_number 1
loop_
_space_group_symop_operation_xyz
'x,y,z'
loop_
_atom_site_label
_atom_site_type_symbol
_atom_site_fract_x
_atom_site_fract_y
_atom_site_fract_z
_atom_site_occupancy
Sb1 Sb 0.9284 0.9284 0.0000 1
Sb2 Sb 0.5716 0.5716 0.0000 1
Tc1 Tc 0.7500 0.2500 0.5000 1
Tl1 Tl 0.2500 0.7500 0.5000 1
```


# 2
A plane-wave DFT calculation with PBE was carried out for a relaxed structure of MnGa2AgAs.

Properties
DFT formation energy = 0.795 eV per atom
M_tot = 0.00 Bohr magnetons per cell
Calculated total energy = -3.750 eV per atom
Volume = 100 Å³/cell

```
data_MnGa2AgAs
_chemical_formula_sum 'Mn1 Ga2 Ag1 As1'
_cell_length_a 4.5266
_cell_length_b 4.8985
_cell_length_c 4.5266
_cell_angle_alpha 90.00
_cell_angle_beta 90.00
_cell_angle_gamma 90.00
_space_group_name_H-M_alt 'P 1'
_space_group_IT_number 1
loop_
_space_group_symop_operation_xyz
'x,y,z'
loop_
_atom_site_label
_atom_site_type_symbol
_atom_site_fract_x
_atom_site_fract_y
_atom_site_fract_z
_atom_site_occupancy
As1 As 0.5000 0.5000 0.5000 1
Mn1 Mn 0.0000 0.0000 0.0000 1
Ga1 Ga 0.0000 0.0000 0.5000 1
Ga2 Ga 0.5000 0.0000 0.0000 1
Ag1 Ag 0.0000 0.5000 0.0000 1
```


# 3
A plane-wave DFT calculation with PBE was carried out for a relaxed structure of Pu2MnGa4Ni3.

Properties
DFT formation energy = -0.290 eV per atom
M_tot = 13.05 Bohr magnetons per cell
Calculated total energy = -7.018 eV per atom
Volume = 169 Å³/cell

```
data_Pu2MnGa4Ni3
_chemical_formula_sum 'Pu2 Mn1 Ga4 Ni3'
_cell_length_a 3.9961
_cell_length_b 3.9961
_cell_length_c 10.5579
_cell_angle_alpha 90.00
_cell_angle_beta 90.00
_cell_angle_gamma 90.00
_space_group_name_H-M_alt 'P 1'
_space_group_IT_number 1
loop_
_space_group_symop_operation_xyz
'x,y,z'
loop_
_atom_site_label
_atom_site_type_symbol
_atom_site_fract_x
_atom_site_fract_y
_atom_site_fract_z
_atom_site_occupancy
Pu1 Pu 0.5000 0.0000 0.2445 1
Pu2 Pu 0.0000 0.5000 0.7555 1
Mn1 Mn 0.5000 0.5000 0.5000 1
Ga1 Ga 0.5000 0.5000 0.0000 1
Ga2 Ga 0.0000 0.0000 0.0000 1
Ga3 Ga 0.5000 0.0000 0.6374 1
Ga4 Ga 0.0000 0.5000 0.3626 1
Ni1 Ni 0.0000 0.0000 0.5000 1
Ni2 Ni 0.5000 0.0000 0.8650 1
Ni3 Ni 0.0000 0.5000 0.1350 1
```


# 4
A plane-wave DFT calculation with PBE was carried out for a relaxed structure of RbSrTa.

Properties
DFT formation energy = 1.000 eV per atom
M_tot = 0.00 Bohr magnetons per cell
Calculated total energy = -3.834 eV per atom
Volume = 300 Å³/cell

```
data_RbSrTa
_chemical_formula_sum 'Rb2 Sr2 Ta2'
_cell_length_a 14.2207
_cell_length_b 5.9470
_cell_length_c 5.9470
_cell_angle_alpha 120.02
_cell_angle_beta 128.84
_cell_angle_gamma 51.16
_space_group_name_H-M_alt 'P 1'
_space_group_IT_number 1
loop_
_space_group_symop_operation_xyz
'x,y,z'
loop_
_atom_site_label
_atom_site_type_symbol
_atom_site_fract_x
_atom_site_fract_y
_atom_site_fract_z
_atom_site_occupancy
Sr1 Sr 0.5672 0.0995 0.9005 1
Sr2 Sr 0.4328 0.9005 0.0995 1
Rb1 Rb 0.8619 0.4715 0.5285 1
Rb2 Rb 0.1381 0.5285 0.4715 1
Ta1 Ta 0.3843 0.6158 0.3842 1
Ta2 Ta 0.6157 0.3842 0.6158 1
```